Ac8Si3Br4N | PBE-GGA | optimized geometry

Lattice parameters (Å, degrees): 8.7449 9.3883 8.7446 117.76 120.00 90.00
Closest atoms and distances in Å follow each position.
Atoms (fractional coordinates):
Ac1 0.2190 0.6980 0.9790  1 N 2.80, 2 Si 3.06
Ac2 0.2192 0.6981 0.4383  1 N 2.80, 2 Si 3.06
Ac3 0.2622 0.2865 0.5243  3 Si 3.04, 3 Br 3.39
Ac4 0.7599 0.6980 0.9790  1 N 2.80, 2 Si 3.06
Ac5 0.2401 0.3020 0.0210  1 N 2.80, 2 Si 3.06
Ac6 0.7378 0.7135 0.4757  3 Si 3.04, 3 Br 3.39
Ac7 0.7808 0.3019 0.5617  1 N 2.80, 2 Si 3.06
Ac8 0.7810 0.3020 0.0210  1 N 2.80, 2 Si 3.06
Si1 0.5000 0.5000 0.0000  6 Ac 3.04-3.06
Si2 0.5000 0.5000 0.5000  6 Ac 3.04-3.06
Si3 0.0000 0.5000 0.5000  6 Ac 3.04-3.06
Br1 0.5000 0.0000 0.0000  6 Ac 3.63
Br2 0.5000 0.0000 0.5000  6 Ac 3.39-3.41
Br3 0.0000 0.0000 0.0000  6 Ac 3.39-3.41
Br4 0.0000 0.0000 0.5000  6 Ac 3.39-3.41
N1 0.0000 0.5000 0.0000  6 Ac 2.80

Output
The value obtained for the density of states at the Fermi level is 0.4574 states/eV/atom. The value obtained for the total magnetization is 0.0 μB/f.u. Its space group is No. 166. The raw total energy is -5.077 eV per atom.

Ac2SmBr2N2 | PBE-GGA | optimized geometry

Lattice parameters (Å, degrees): 4.6638 4.6638 8.8611 105.26 105.26 90.00
Closest atoms and distances in Å follow each position.
Atoms (fractional coordinates):
Ac1 0.4011 0.4011 0.8021  4 N 2.84
Ac2 0.5989 0.5989 0.1979  4 N 2.84
Sm1 0.0000 0.0000 0.0000  4 N 2.33
Br1 0.1891 0.1891 0.3783  1 Sm 3.11
Br2 0.8109 0.8109 0.6217  1 Sm 3.11
N1 0.0000 0.5000 0.0000  2 Sm 2.33
N2 0.5000 0.0000 0.0000  2 Sm 2.33

Output
The value obtained for the density of states at the Fermi level is 0.4285 states/eV/atom. The value obtained for the total magnetization is 0.0 μB/f.u. Its space group is No. 139. The raw total energy is -6.016 eV per atom.

Number 1: raw formation energy -1.067 eV/atom. Number 2: raw formation energy -1.312 eV/atom.